Computed, not measured: an optimized crystal structure of Ce7Tc2Hg2 at the PBE level of DFT.

```
data_Ce7Tc2Hg2
_space_group_name_H-M_alt 'C 1 2/m 1'
_space_group_IT_number 12
_cell_length_a 11.299
_cell_length_b 7.953
_cell_length_c 6.767
_cell_angle_alpha 90.00
_cell_angle_beta 90.11
_cell_angle_gamma 90.00
loop_
_space_group_symop_operation_xyz
'x,y,z'
'-x,-y,-z'
'-x,y,-z'
'x,-y,z'
'x+1/2,y+1/2,z'
'-x+1/2,-y+1/2,-z'
'-x+1/2,y+1/2,-z'
'x+1/2,-y+1/2,z'
loop_
_atom_site_label
_atom_site_type_symbol
_atom_site_fract_x
_atom_site_fract_y
_atom_site_fract_z
_atom_site_occupancy
Ce1 Ce 0.000 0.000 0.000 1
Ce2 Ce 0.000 0.500 0.204 1
Ce3 Ce 0.250 0.250 0.270 1
Tc1 Tc 0.234 0.500 0.999 1
Hg1 Hg 0.000 0.180 0.500 1
```

Computed properties:
- Size of the total moment: 7.367 μB per cell
- Total DFT energy (no corrections): -126.0 eV/cell
- ΔE_f: -13 meV/atom

Computed, not measured: an optimized crystal structure of Ce3TcHg2 at the PBE level of DFT.

```
data_Ce3TcHg2
_space_group_name_H-M_alt 'C 1 2/m 1'
_space_group_IT_number 12
_cell_length_a 7.816
_cell_length_b 10.710
_cell_length_c 7.908
_cell_angle_alpha 90.00
_cell_angle_beta 98.96
_cell_angle_gamma 90.00
loop_
_space_group_symop_operation_xyz
'x,y,z'
'-x,-y,-z'
'-x,y,-z'
'x,-y,z'
'x+1/2,y+1/2,z'
'-x+1/2,-y+1/2,-z'
'-x+1/2,y+1/2,-z'
'x+1/2,-y+1/2,z'
loop_
_atom_site_label
_atom_site_type_symbol
_atom_site_fract_x
_atom_site_fract_y
_atom_site_fract_z
_atom_site_occupancy
Ce1 Ce 0.175 0.000 0.169 1
Ce2 Ce 0.224 0.186 0.772 1
Tc1 Tc 0.000 0.220 0.000 1
Hg1 Hg 0.000 0.000 0.500 1
Hg2 Hg 0.000 0.366 0.500 1
Hg3 Hg 0.000 0.500 0.000 1
```

Computed properties:
- Size of the total moment: 6.153 μB per cell
- Total DFT energy (no corrections): -118.1 eV/cell
- ΔE_f: -124 meV/atom